Record 1
Below is a relaxed LiHgF crystal, with properties calculated at the PBE-GGA level.

Output
ΔE_f (raw): -1.83 eV per atom
space-group type: P-6m2, No. 187
excess energy over the best structure of this formula in the dataset: 0.000 eV per atom
size of the total moment: 0.000 μB/atom
N(E_F): 0.061 states/eV/cell

a = 3.2390 Å, b = 3.2390 Å, c = 6.6398 Å
α = 90.00°, β = 90.00°, γ = 120.00°
Last column: nearest neighbours and their distance in Å.
Atoms (fractional coordinates):
1 Li 0.6667 0.3333 0.5000  3 F 1.87
2 Hg 0.0000 0.0000 0.0000  6 Hg 3.24
3 F 0.3333 0.6667 0.5000  3 Li 1.87

Record 2
Below is a relaxed LiHg2F5 crystal, with properties calculated at the PBE-GGA level.

Output
ΔE_f (raw): -1.77 eV per atom
space-group type: Cmcm, No. 63
excess energy over the best structure of this formula in the dataset: 0.000 eV per atom
size of the total moment: 0.000 μB/atom

a = 4.4649 Å, b = 6.1385 Å, c = 10.6609 Å
α = 90.00°, β = 90.00°, γ = 111.33°
Last column: nearest neighbours and their distance in Å.
Atoms (fractional coordinates):
1 Li 0.8183 0.6367 0.7500  4 F 1.99-2.13
2 Li 0.1817 0.3633 0.2500  4 F 1.99-2.13
3 Hg 0.8596 0.7192 0.4265  6 F 2.27-2.52
4 Hg 0.8596 0.7192 0.0735  6 F 2.27-2.52
5 Hg 0.1404 0.2808 0.5735  6 F 2.27-2.52
6 Hg 0.1404 0.2808 0.9265  6 F 2.27-2.52
7 F 0.9434 0.8868 0.8803  1 Li 1.99
8 F 0.9434 0.8868 0.6197  1 Li 1.99
9 F 0.2963 0.5927 0.4070  1 Li 2.13, 2 Hg 2.36
10 F 0.2963 0.5927 0.0930  1 Li 2.13, 2 Hg 2.36
11 F 0.7450 0.4900 0.2500  2 Hg 2.29, 2 Li 2.35
12 F 0.2550 0.5100 0.7500  2 Hg 2.29, 2 Li 2.35
13 F 0.7037 0.4073 0.5930  1 Li 2.13, 2 Hg 2.36
14 F 0.7037 0.4073 0.9070  1 Li 2.13, 2 Hg 2.36
15 F 0.0566 0.1132 0.1197  1 Li 1.99
16 F 0.0566 0.1132 0.3803  1 Li 1.99

Record 3
Below is a relaxed LiHgF2 crystal, with properties calculated at the PBE-GGA level.

Output
ΔE_f (raw): -1.89 eV per atom
space-group type: R3m, No. 160
excess energy over the best structure of this formula in the dataset: 0.000 eV per atom
size of the total moment: 0.000 μB/atom
N(E_F): 1.092 states/eV/cell

a = 3.0565 Å, b = 3.0565 Å, c = 6.4813 Å
α = 76.36°, β = 76.36°, γ = 60.00°
Last column: nearest neighbours and their distance in Å.
Atoms (fractional coordinates):
1 Li 0.6672 0.6672 0.9984  6 F 2.08-2.10
2 Hg 0.4997 0.4997 0.5010  6 F 2.66-2.67
3 F 0.0598 0.0598 0.8207  3 Li 2.08
4 F 0.2733 0.2733 0.1800  3 Li 2.10

Record 4
Below is a relaxed LiHgF2 crystal, with properties calculated at the PBE-GGA level.

Output
ΔE_f (raw): -1.64 eV per atom
space-group type: R-3m, No. 166
excess energy over the best structure of this formula in the dataset: 0.248 eV per atom
size of the total moment: 0.000 μB/atom
N(E_F): 0.691 states/eV/cell

a = 7.2652 Å, b = 7.2652 Å, c = 7.2652 Å
α = 27.23°, β = 27.23°, γ = 27.23°
Last column: nearest neighbours and their distance in Å.
Atoms (fractional coordinates):
1 Li 0.0000 0.0000 0.0000  2 F 1.72
2 Hg 0.5000 0.5000 0.5000  6 F 2.66
3 F 0.9181 0.9181 0.9181  1 Li 1.72
4 F 0.0819 0.0819 0.0819  1 Li 1.72

Record 5
Below is a relaxed LiHg2F crystal, with properties calculated at the PBE-GGA level.

Output
ΔE_f (raw): -0.74 eV per atom
space-group type: Fm-3m, No. 225
excess energy over the best structure of this formula in the dataset: 0.091 eV per atom
size of the total moment: 0.000 μB/atom
N(E_F): 0.375 states/eV/cell

a = 4.8247 Å, b = 4.8247 Å, c = 4.8247 Å
α = 60.00°, β = 60.00°, γ = 60.00°
Last column: nearest neighbours and their distance in Å.
Atoms (fractional coordinates):
1 Li 0.0000 0.0000 0.0000  8 Hg 2.95
2 Hg 0.2500 0.2500 0.2500  4 F 2.95, 4 Li 2.95
3 Hg 0.7500 0.7500 0.7500  4 Li 2.95, 4 F 2.95
4 F 0.5000 0.5000 0.5000  8 Hg 2.95

Record 6
Below is a relaxed Li2Hg4F9 crystal, with properties calculated at the PBE-GGA level.

Output
ΔE_f (raw): -1.77 eV per atom
space-group type: P-1, No. 2
size of the total moment: 0.000 μB/atom

a = 5.7080 Å, b = 5.8850 Å, c = 15.8394 Å
α = 88.13°, β = 83.40°, γ = 58.66°
Last column: nearest neighbours and their distance in Å.
Atoms (fractional coordinates):
1 Li 0.9296 0.0011 0.3141  5 F 1.99-2.09
2 Li 0.9763 0.9873 0.1296  6 F 2.02-2.18
3 Li 0.0704 0.9989 0.6859  5 F 1.99-2.09
4 Li 0.0237 0.0127 0.8704  6 F 2.02-2.18
5 Hg 0.3615 0.3218 0.9533  5 F 2.26-2.52
6 Hg 0.2185 0.3312 0.4519  1 F 2.19
7 Hg 0.6385 0.6782 0.0467  5 F 2.26-2.52
8 Hg 0.2910 0.3112 0.1861  6 F 2.26-2.51
9 Hg 0.7815 0.6688 0.5481  1 F 2.19
10 Hg 0.6158 0.6651 0.3029  3 F 2.16-2.36
11 Hg 0.3842 0.3349 0.6971  3 F 2.16-2.36
12 Hg 0.7090 0.6888 0.8139  6 F 2.26-2.51
13 F 0.0691 0.2575 0.7709  2 Li 2.06-2.18, 1 Hg 2.27
14 F 0.3242 0.7299 0.7718  2 Li 2.09-2.18, 1 Hg 2.26
15 F 0.6543 0.1148 0.8141  1 Li 2.16, 1 Hg 2.36
16 F 0.9309 0.7425 0.2291  2 Li 2.06-2.18, 1 Hg 2.27
17 F 0.6758 0.2701 0.2282  2 Li 2.09-2.18, 1 Hg 2.26
18 F 0.3457 0.8852 0.1859  1 Li 2.16, 1 Hg 2.36
19 F 0.6189 0.0172 0.3914  1 Li 2.00, 1 Hg 2.19
20 F 0.0409 0.2740 0.3218  1 Li 2.02
21 F 0.2410 0.7273 0.3742  1 Li 1.99, 1 Hg 2.16
22 F 0.6585 0.0451 0.0686  1 Li 2.02, 1 Hg 2.26
23 F 0.2607 0.6232 0.0683  1 Li 2.08, 1 Hg 2.33
24 F 0.0205 0.2964 0.0847  1 Li 2.06, 1 Hg 2.30
25 F 0.3811 0.9828 0.6086  1 Li 2.00, 1 Hg 2.19
26 F 0.9591 0.7260 0.6782  1 Li 2.02
27 F 0.7590 0.2727 0.6258  1 Li 1.99, 1 Hg 2.16
28 F 0.3415 0.9549 0.9314  1 Li 2.02, 1 Hg 2.26
29 F 0.7393 0.3768 0.9317  1 Li 2.08, 1 Hg 2.33
30 F 0.9795 0.7036 0.9153  1 Li 2.06, 1 Hg 2.30

Record 7
Below is a relaxed LiHg2F crystal, with properties calculated at the PBE-GGA level.

Output
ΔE_f (raw): -0.83 eV per atom
space-group type: I-42d, No. 122
excess energy over the best structure of this formula in the dataset: 0.000 eV per atom
size of the total moment: 0.000 μB/atom
N(E_F): 0.452 states/eV/cell

a = 7.7373 Å, b = 7.7373 Å, c = 6.1136 Å
α = 50.74°, β = 50.74°, γ = 90.00°
Last column: nearest neighbours and their distance in Å.
Atoms (fractional coordinates):
1 Li 0.5000 0.5000 0.0000  2 F 2.73, 4 Hg 2.94
2 Li 0.2500 0.7500 0.5000  2 F 2.73, 4 Hg 2.94
3 Hg 0.6478 0.1250 0.2500  2 F 2.70, 2 Hg 2.75, 2 Li 2.94
4 Hg 0.1022 0.6250 0.2500  2 F 2.70, 2 Hg 2.75, 2 Li 2.94
5 Hg 0.3750 0.3522 0.7500  2 F 2.70, 2 Hg 2.75, 2 Li 2.94
6 Hg 0.8750 0.8978 0.7500  2 F 2.70, 2 Hg 2.75, 2 Li 2.94
7 F 0.0000 0.0000 0.0000  4 Hg 2.70, 2 Li 2.73
8 F 0.7500 0.2500 0.5000  4 Hg 2.70, 2 Li 2.73

Record 8
Below is a relaxed Li3HgF4 crystal, with properties calculated at the PBE-GGA level.

Output
ΔE_f (raw): -2.32 eV per atom
space-group type: I-42m, No. 121
size of the total moment: 0.000 μB/atom
N(E_F): 2.776 states/eV/cell

a = 5.0591 Å, b = 5.0591 Å, c = 5.4200 Å
α = 117.82°, β = 117.82°, γ = 90.00°
Last column: nearest neighbours and their distance in Å.
Atoms (fractional coordinates):
1 Li 0.5000 0.5000 0.0000  4 F 1.91
2 Li 0.7500 0.2500 0.5000  4 F 1.98
3 Li 0.2500 0.7500 0.5000  4 F 1.98
4 Hg 0.0000 0.0000 0.0000  4 F 2.48
5 F 0.4534 0.4534 0.3091  3 Li 1.91-1.98
6 F 0.8557 0.8557 0.3091  3 Li 1.91-1.98
7 F 0.1443 0.5466 0.6909  3 Li 1.91-1.98
8 F 0.5466 0.1443 0.6909  3 Li 1.91-1.98

Record 9
Below is a relaxed Li2HgF4 crystal, with properties calculated at the PBE-GGA level.

Output
ΔE_f (raw): -2.25 eV per atom
space-group type: I4_1/amd, No. 141
excess energy over the best structure of this formula in the dataset: 0.006 eV per atom
size of the total moment: 0.000 μB/atom
N(E_F): 0.000 states/eV/cell

a = 6.0313 Å, b = 6.0313 Å, c = 6.4349 Å
α = 117.95°, β = 117.95°, γ = 90.00°
Last column: nearest neighbours and their distance in Å.
Atoms (fractional coordinates):
1 Li 0.1250 0.8750 0.7500  6 F 2.07-2.13
2 Li 0.6250 0.8750 0.7500  6 F 2.07-2.13
3 Li 0.1250 0.8750 0.2500  6 F 2.07-2.13
4 Li 0.1250 0.3750 0.2500  6 F 2.07-2.13
5 Hg 0.7500 0.2500 0.5000  4 F 2.21
6 Hg 0.5000 0.5000 0.0000  4 F 2.21
7 F 0.9253 0.6551 0.3097  3 Li 2.07-2.13, 1 Hg 2.21
8 F 0.3449 0.6157 0.6903  3 Li 2.07-2.13, 1 Hg 2.21
9 F 0.3455 0.0747 0.6903  3 Li 2.07-2.13, 1 Hg 2.21
10 F 0.8657 0.0955 0.1903  3 Li 2.07-2.13, 1 Hg 2.21
11 F 0.9045 0.6753 0.8097  3 Li 2.07-2.13, 1 Hg 2.21
12 F 0.9051 0.1343 0.8097  3 Li 2.07-2.13, 1 Hg 2.21
13 F 0.3843 0.6545 0.3097  3 Li 2.07-2.13, 1 Hg 2.21
14 F 0.3247 0.0949 0.1903  3 Li 2.07-2.13, 1 Hg 2.21

Record 10
Below is a relaxed LiHg4F8 crystal, with properties calculated at the PBE-GGA level.

Output
ΔE_f (raw): -1.54 eV per atom
space-group type: P-1, No. 2
size of the total moment: 0.000 μB/atom
N(E_F): 1.383 states/eV/cell

a = 7.1264 Å, b = 5.7201 Å, c = 6.5302 Å
α = 89.74°, β = 56.91°, γ = 88.67°
Last column: nearest neighbours and their distance in Å.
Atoms (fractional coordinates):
1 Li 0.0000 0.0000 0.0000  6 F 1.98-2.20
2 Hg 0.0000 0.5000 0.0000  6 F 2.35-2.38
3 Hg 0.5000 0.5000 0.0000  2 F 2.19
4 Hg 0.5000 0.0000 0.5000  6 F 2.32-2.53
5 Hg 0.0000 0.0000 0.5000  6 F 2.31-2.50
6 F 0.2937 0.7725 0.8451  1 Li 2.16, 2 Hg 2.32-2.38
7 F 0.7063 0.2275 0.1549  1 Li 2.16, 2 Hg 2.32-2.38
8 F 0.8542 0.8050 0.2975  1 Li 1.98
9 F 0.1458 0.1950 0.7025  1 Li 1.98
10 F 0.1422 0.2243 0.1525  1 Li 2.20, 2 Hg 2.31-2.35
11 F 0.8578 0.7757 0.8475  1 Li 2.20, 2 Hg 2.31-2.35
12 F 0.6522 0.2526 0.6912  1 Hg 2.19
13 F 0.3478 0.7474 0.3088  1 Hg 2.19

Record 11
Below is a relaxed LiHgF4 crystal, with properties calculated at the PBE-GGA level.

Output
ΔE_f (raw): -1.73 eV per atom
space-group type: P2_1/c, No. 14
excess energy over the best structure of this formula in the dataset: 0.000 eV per atom
size of the total moment: 0.168 μB/atom

a = 5.0433 Å, b = 6.2788 Å, c = 5.6778 Å
α = 110.89°, β = 90.00°, γ = 90.00°
Last column: nearest neighbours and their distance in Å.
Atoms (fractional coordinates):
1 Li 0.5000 0.5000 0.0000  4 F 1.97-2.13
2 Li 0.0000 0.0000 0.0000  4 F 1.97-2.13
3 Hg 0.0000 0.5000 0.5000  4 F 2.11
4 Hg 0.5000 0.0000 0.5000  4 F 2.11
5 F 0.3163 0.8260 0.1492  1 Hg 2.11, 2 Li 2.13-2.26
6 F 0.1837 0.3260 0.1492  1 Hg 2.11, 2 Li 2.13-2.26
7 F 0.6776 0.6030 0.3300  1 Li 1.97, 1 Hg 2.11
8 F 0.1776 0.8970 0.6700  1 Li 1.97, 1 Hg 2.11
9 F 0.8224 0.1030 0.3300  1 Li 1.97, 1 Hg 2.11
10 F 0.3224 0.3970 0.6700  1 Li 1.97, 1 Hg 2.11
11 F 0.8163 0.6740 0.8508  1 Hg 2.11, 2 Li 2.13-2.26
12 F 0.6837 0.1740 0.8508  1 Hg 2.11, 2 Li 2.13-2.26

Record 12
Below is a relaxed LiHgF2 crystal, with properties calculated at the PBE-GGA level.

Output
ΔE_f (raw): -1.52 eV per atom
space-group type: Fm-3m, No. 225
excess energy over the best structure of this formula in the dataset: 0.376 eV per atom
size of the total moment: 0.000 μB/atom
N(E_F): 1.615 states/eV/cell

a = 4.3086 Å, b = 4.3086 Å, c = 4.3086 Å
α = 60.00°, β = 60.00°, γ = 60.00°
Last column: nearest neighbours and their distance in Å.
Atoms (fractional coordinates):
1 Li 0.0000 0.0000 0.0000  8 F 2.64
2 Hg 0.5000 0.5000 0.5000  8 F 2.64
3 F 0.2500 0.2500 0.2500  4 Hg 2.64, 4 Li 2.64
4 F 0.7500 0.7500 0.7500  4 Hg 2.64, 4 Li 2.64